Record 1
The following is a DFT calculation (PBE) of a relaxed Pm6Pr3Ho2In crystal.

The structure belongs to space group C2/m (No. 12); the cell edges are 6.2563, 10.8828 and 11.8691 Å and the angles 90.00°, 100.39° and 90.00°. The distinct sites, in fractional coordinates, are Pm at (0.2418, 0.1630, 0.2411), Pm at (0.2464, 0.0000, 0.7565), Pr at (0.0000, 0.1692, 0.5000), Pr at (0.0000, 0.5000, 0.5000), Ho at (0.0000, 0.3341, 0.0000) and In at (0.0000, 0.0000, 0.0000).

The total energy comes out at -4.593 eV per atom. The formation energy is -0.38 eV/f.u. Its density of states at the Fermi level is 31.51 states/eV per cell.

=====

Record 2
The following is a DFT calculation (PBE) of a relaxed Be4TeRh crystal.

The structure belongs to space group F-43m (No. 216); the cell edges are 6.5715, 6.5715 and 6.5715 Å and the angles 90.00°, 90.00° and 90.00°. The distinct sites, in fractional coordinates, are Be at (0.1217, 0.1217, 0.1217), Te at (0.0000, 0.0000, 0.5000) and Rh at (0.2500, 0.2500, 0.7500).

The total energy comes out at -4.097 eV per atom. Its density of states at the Fermi level is 13.08 states/eV per cell.

=====

Record 3
The following is a DFT calculation (PBE) of a relaxed BaPtW crystal.

The structure belongs to space group P2_1/m (No. 11); the cell edges are 4.4725, 4.1666 and 8.8681 Å and the angles 90.00°, 93.95° and 90.00°. The distinct sites, in fractional coordinates, are Ba at (0.2386, 0.2500, 0.3328), Pt at (0.3129, 0.2500, 0.8330) and W at (0.1907, 0.7500, 0.0019).

The energy above the lowest structure with this stoichiometry comes out at 0.04 eV/f.u. The total energy comes out at -6.918 eV per atom. The formation energy is 0.16 eV/f.u. Its density of states at the Fermi level is 3.99 states/eV per cell.

=====

Record 4
The following is a DFT calculation (PBE) of a relaxed PaTiAu2 crystal.

The structure belongs to space group P4/mmm (No. 123); the cell edges are 3.1081, 3.1081 and 8.1597 Å and the angles 90.00°, 90.00° and 90.00°. The distinct sites, in fractional coordinates, are Pa at (0.0000, 0.0000, 0.0000), Ti at (0.0000, 0.0000, 0.5000) and Au at (0.5000, 0.5000, 0.2770).

The energy above the lowest structure with this stoichiometry comes out at 0.00 eV/f.u. The total energy comes out at -6.283 eV per atom. The formation energy is -1.19 eV/f.u. Its density of states at the Fermi level is 5.80 states/eV per cell.

=====

Record 5
The following is a DFT calculation (PBE) of a relaxed Ga4Ru2Rh crystal.

The structure belongs to space group R-3m (No. 166, hexagonal axes); the cell edges are 4.2706, 4.2706 and 20.3553 Å and the angles 90.00°, 90.00° and 120.00°. The distinct sites, in fractional coordinates, are Ga at (0.0000, 0.0000, 0.1176), Ga at (0.0000, 0.0000, 0.3711), Ru at (0.0000, 0.0000, 0.2479) and Rh at (0.0000, 0.0000, 0.5000).

The total energy comes out at -5.771 eV per atom. The formation energy is -2.39 eV/f.u. Its density of states at the Fermi level is 13.04 states/eV per cell.

=====

Record 6
The following is a DFT calculation (PBE) of a relaxed Sc2PtRh crystal.

The structure belongs to space group R-3m (No. 166, hexagonal axes); the cell edges are 3.1254, 3.1254 and 26.9708 Å and the angles 90.00°, 90.00° and 120.00°. The distinct sites, in fractional coordinates, are Sc at (0.0000, 0.0000, 0.0935), Pt at (0.0000, 0.0000, 0.0000) and Rh at (0.0000, 0.0000, 0.5000).

The total energy comes out at -6.866 eV per atom. The formation energy is -1.41 eV/f.u. Its density of states at the Fermi level is 7.57 states/eV per cell.

=====

Record 7
The following is a DFT calculation (PBE) of a relaxed YHoAsO2 crystal.

The structure belongs to space group I4mm (No. 107); the cell edges are 3.7898, 3.7898 and 12.8312 Å and the angles 90.00°, 90.00° and 90.00°. The distinct sites, in fractional coordinates, are Y at (0.0000, 0.0000, 0.0000), Ho at (0.0000, 0.0000, 0.3213), As at (0.0000, 0.0000, 0.6602) and O at (0.0000, 0.5000, 0.4090).

The total energy comes out at -7.799 eV per atom. Its density of states at the Fermi level is 3.97 states/eV per cell.

=====

Record 8
The following is a DFT calculation (PBE) of a relaxed Ca2PuReN4 crystal.

The structure belongs to space group Cmcm (No. 63); the cell edges are 3.3380, 11.8013 and 12.2231 Å and the angles 90.00°, 90.00° and 90.00°. The distinct sites, in fractional coordinates, are Ca at (0.0000, 0.1268, 0.0343), Pu at (0.0000, 0.4173, 0.2500), Re at (0.0000, 0.3250, 0.7500), N at (0.0000, 0.0687, 0.2500), N at (0.0000, 0.2288, 0.6334) and N at (0.0000, 0.5000, 0.0000).

The total energy comes out at -8.613 eV per atom. Its density of states at the Fermi level is 32.67 states/eV per cell.

=====

Record 9
The following is a DFT calculation (PBE) of a relaxed Si2TcW crystal.

The structure belongs to space group Cmm2 (No. 35); the cell edges are 3.1765, 4.4484 and 8.2860 Å and the angles 90.00°, 90.00° and 90.00°. The distinct sites, in fractional coordinates, are Si at (0.0000, 0.0000, 0.0000), Si at (0.0000, 0.5000, 0.2553), Tc at (0.0000, 0.5000, 0.7658) and W at (0.0000, 0.0000, 0.5011).

The energy above the lowest structure with this stoichiometry comes out at 2.36 eV/f.u. The total energy comes out at -8.328 eV per atom. Its density of states at the Fermi level is 7.05 states/eV per cell.

=====

Record 10
The following is a DFT calculation (PBE) of a relaxed K2S4N3 crystal.

The structure belongs to space group Cccm (No. 66); the cell edges are 11.2531, 16.9377 and 5.0388 Å and the angles 90.00°, 90.00° and 90.00°. The distinct sites, in fractional coordinates, are K at (0.1432, 0.1163, 0.0000), S at (0.0784, 0.3915, 0.5000), S at (0.1616, 0.2361, 0.5000), N at (0.0000, 0.0000, 0.2500) and N at (0.0000, 0.4054, 0.2500).

The total energy comes out at -4.356 eV per atom. Its density of states at the Fermi level is 15.26 states/eV per cell.

=====

Record 11
The following is a DFT calculation (PBE) of a relaxed SrGe12Os4 crystal.

The structure belongs to space group Im-3 (No. 204); the cell edges are 8.7979, 8.7979 and 8.7979 Å and the angles 90.00°, 90.00° and 90.00°. The distinct sites, in fractional coordinates, are Sr at (0.0000, 0.0000, 0.0000), Ge at (0.0000, 0.3458, 0.1626) and Os at (0.2500, 0.2500, 0.2500).

The total energy comes out at -5.863 eV per atom. The formation energy is 2.34 eV/f.u. Its density of states at the Fermi level is 25.05 states/eV per cell.